Record 1
Computed, not measured: PuHgGeAu after structural relaxation at the PBE level of DFT.

**Energy relative to the elements**: -0.2135 eV/atom
**Calculated density**: 13613 kg/m³
**Density of states at the Fermi level**: 11.210 states/eV/f.u.

Cell: 4.9760 4.9760 4.9760 Å, 60.00 60.00 60.00°
Each line ends with the local moment (μB).
Element x y z (fractional)
Au1 0.0000 0.0000 0.0000  0.00
Hg1 0.2500 0.2500 0.2500  0.00
Ge1 0.5000 0.5000 0.5000  0.03
Pu1 0.7500 0.7500 0.7500  5.26

Record 2
Computed, not measured: Li3Ga6Tc after structural relaxation at the PBE level of DFT.

**Energy relative to the elements**: -0.1276 eV/atom
**Calculated density**: 5225 kg/m³
**Density of states at the Fermi level**: 2.951 states/eV/f.u.

Cell: 7.1888 4.9389 4.9389 Å, 86.86 80.70 80.70°
Element x y z (fractional)
Tc1 0.5000 0.5000 0.5000
Li1 0.0000 0.0000 0.0000
Li2 0.2536 0.2263 0.2263
Li3 0.7464 0.7737 0.7737
Ga1 0.3608 0.6995 0.0635
Ga2 0.6392 0.9365 0.3005
Ga3 0.6392 0.3005 0.9365
Ga4 0.3608 0.0635 0.6995
Ga5 0.8719 0.3885 0.3885
Ga6 0.1281 0.6115 0.6115